Record 1
Density functional theory data (PBE) for an optimized crystal structure of Mg2CrAs.

Output
The calculation puts the size of the total moment at 0.886 μB/atom. The formation energy is 6 kJ/mol of formula units. Its total energy is -4.35 eV/atom. For the density of states at the Fermi level, the calculation gives 0.454 states/eV/atom.

a b c (Å): 3.601 3.994 5.941
angles (deg): 70.37 90.00 90.00
Each line ends with the local moment (μB).
Element x y z (fractional)
Mg: 0.000 0.953 0.967  -0.02
As: 0.000 0.706 0.465  -0.07
Mg: 0.500 0.284 0.309  0.01
Cr: 0.500 0.557 0.759  3.26

---

Record 2
Density functional theory data (PBE) for an optimized crystal structure of MgCr2As2.

Output
The calculation puts the size of the total moment at 0.841 μB/atom. The formation energy is -13 kJ/mol of formula units. Its total energy is -6.05 eV/atom. For the density of states at the Fermi level, the calculation gives 0.421 states/eV/atom.

a b c (Å): 7.098 7.098 3.139
angles (deg): 90.00 90.00 90.00
Each line ends with the local moment (μB).
Element x y z (fractional)
As: 0.349 0.849 0.000  -0.12
As: 0.651 0.151 0.000  -0.12
Cr: 0.863 0.363 0.500  2.18
Mg: 0.000 0.000 0.000  -0.03
Cr: 0.637 0.863 0.500  2.16
As: 0.151 0.349 0.000  -0.12
Mg: 0.500 0.500 0.000  -0.03
Cr: 0.363 0.137 0.500  2.16
As: 0.849 0.651 0.000  -0.12
Cr: 0.137 0.637 0.500  2.18

---

Record 3
Density functional theory data (PBE) for an optimized crystal structure of MgCr2As.

Output
The calculation puts the size of the total moment at 0.465 μB/atom. The formation energy is 133 kJ/mol of formula units. Its total energy is -6.03 eV/atom. For the density of states at the Fermi level, the calculation gives 0.985 states/eV/atom.

a b c (Å): 4.279 2.858 4.814
angles (deg): 84.92 90.00 90.00
Each line ends with the local moment (μB).
Element x y z (fractional)
As: 0.500 0.750 0.750  -0.03
Mg: 0.500 0.250 0.250  -0.01
Cr: 0.000 0.891 0.017  0.91
Cr: 0.000 0.609 0.483  0.91

---

Record 4
Density functional theory data (PBE) for an optimized crystal structure of Mg2CrAs.

Output
The calculation puts the size of the total moment at 0.925 μB/atom. The formation energy is 40 kJ/mol of formula units. Its total energy is -4.26 eV/atom. For the density of states at the Fermi level, the calculation gives 0.319 states/eV/atom.

a b c (Å): 5.136 5.136 3.052
angles (deg): 90.00 90.00 112.68
Each line ends with the local moment (μB).
Element x y z (fractional)
As: 0.500 0.000 0.500  -0.01
Cr: 0.000 0.500 0.500  3.40
Mg: 0.500 0.500 0.000  -0.02
Mg: 0.000 0.000 0.000  -0.02

---

Record 5
Density functional theory data (PBE) for an optimized crystal structure of Mg2CrAs.

Output
The calculation puts the size of the total moment at 1.027 μB/atom. The formation energy is -5 kJ/mol of formula units. Its total energy is -4.38 eV/atom. For the density of states at the Fermi level, the calculation gives 0.348 states/eV/atom.

a b c (Å): 4.219 4.219 4.091
angles (deg): 90.00 90.00 90.00
Each line ends with the local moment (μB).
Element x y z (fractional)
Mg: 0.000 0.000 0.000  -0.01
Mg: 0.500 0.500 0.000  -0.01
As: 0.500 0.000 0.500  -0.01
Cr: 0.000 0.500 0.500  3.65

---

Record 6
Density functional theory data (PBE) for an optimized crystal structure of MgCrAs2.

Output
The calculation puts the size of the total moment at 0.000 μB/atom. The formation energy is -36 kJ/mol of formula units. Its total energy is -5.22 eV/atom. For the density of states at the Fermi level, the calculation gives 0.466 states/eV/atom.

a b c (Å): 3.109 3.102 7.152
angles (deg): 70.58 90.00 90.00
Element x y z (fractional)
Mg: 0.500 0.750 0.750
As: 0.000 0.580 0.457
Cr: 0.500 0.250 0.250
As: 0.000 0.920 0.043

---

Record 7
Density functional theory data (PBE) for an optimized crystal structure of MgCr2As.

Output
The calculation puts the size of the total moment at 0.127 μB/atom. The formation energy is 73 kJ/mol of formula units. Its total energy is -6.18 eV/atom. For the density of states at the Fermi level, the calculation gives 0.491 states/eV/atom.

a b c (Å): 4.381 4.381 5.454
angles (deg): 81.27 81.27 40.48
Each line ends with the local moment (μB).
Element x y z (fractional)
Cr: 0.002 0.002 0.975  -2.39
Cr: 0.735 0.735 0.823  2.71
As: 0.261 0.261 0.200  0.01
Mg: 0.501 0.501 0.501  0.01

---

Record 8
Density functional theory data (PBE) for an optimized crystal structure of MgCrAs.

Output
The calculation puts the size of the total moment at 1.505 μB/atom. The formation energy is -5 kJ/mol of formula units. Its total energy is -5.31 eV/atom. For the density of states at the Fermi level, the calculation gives 0.352 states/eV/atom.

a b c (Å): 4.403 4.403 4.403
angles (deg): 60.00 60.00 60.00
Each line ends with the local moment (μB).
Element x y z (fractional)
Mg: 0.500 0.500 0.500  0.01
Cr: 0.000 0.000 0.000  3.85
As: 0.750 0.750 0.750  -0.02

---

Record 9
Density functional theory data (PBE) for an optimized crystal structure of MgCrAs.

Output
The calculation puts the size of the total moment at 0.550 μB/atom. The formation energy is -69 kJ/mol of formula units. Its total energy is -5.53 eV/atom. For the density of states at the Fermi level, the calculation gives 1.081 states/eV/atom.

a b c (Å): 3.924 3.924 6.413
angles (deg): 90.00 90.00 90.00
Each line ends with the local moment (μB).
Element x y z (fractional)
As: 0.500 0.000 0.746  -0.07
Cr: 0.000 0.000 0.500  1.67
Mg: 0.000 0.500 0.829  -0.01
Mg: 0.500 0.000 0.171  -0.01
Cr: 0.500 0.500 0.500  1.67
As: 0.000 0.500 0.254  -0.07

---

Record 10
Density functional theory data (PBE) for an optimized crystal structure of MgCr2As.

Output
The calculation puts the size of the total moment at 0.000 μB/atom. The formation energy is 183 kJ/mol of formula units. Its total energy is -5.90 eV/atom. For the density of states at the Fermi level, the calculation gives 1.233 states/eV/atom.

a b c (Å): 3.724 3.724 9.500
angles (deg): 78.70 78.70 90.00
Element x y z (fractional)
As: 0.000 0.000 0.000
Cr: 0.043 0.625 0.250
Cr: 0.707 0.125 0.250
Mg: 0.250 0.750 0.500
Cr: 0.875 0.957 0.750
Mg: 0.500 0.500 0.000
Cr: 0.375 0.293 0.750
As: 0.750 0.250 0.500

---

Record 11
Density functional theory data (PBE) for an optimized crystal structure of MgCrAs2.

Output
The calculation puts the size of the total moment at 0.001 μB/atom. The formation energy is 14 kJ/mol of formula units. Its total energy is -5.09 eV/atom. For the density of states at the Fermi level, the calculation gives 0.364 states/eV/atom.

a b c (Å): 4.581 3.424 4.748
angles (deg): 68.81 90.00 90.00
Element x y z (fractional)
Cr: 0.000 0.331 0.464
As: 0.500 0.416 0.293
As: 0.000 0.056 0.015
Mg: 0.500 0.697 0.729

---

Record 12
Density functional theory data (PBE) for an optimized crystal structure of Mg3CrAs.

Output
The calculation puts the size of the total moment at 0.946 μB/atom. The formation energy is 203 kJ/mol of formula units. Its total energy is -3.39 eV/atom. For the density of states at the Fermi level, the calculation gives 0.550 states/eV/atom.

a b c (Å): 5.053 5.053 5.053
angles (deg): 90.00 90.00 90.00
Each line ends with the local moment (μB).
Element x y z (fractional)
As: 0.000 0.000 0.000  0.04
Mg: 0.000 0.000 0.500  -0.02
Cr: 0.500 0.500 0.500  4.08
Mg: 0.500 0.000 0.000  -0.01
Mg: 0.000 0.500 0.000  -0.01